1.
The following is a DFT calculation (PBE) of crystalline KOs2Rh at its relaxed geometry. Values from VASP.

Energy of formation   3.71 eV/f.u.
Electronic total energy   -6.80 eV per atom
Calculated density   12.2 g/cm³

```
&SYSTEM
  ibrav = 0, nat = 4, ntyp = 3
/
ATOMIC_SPECIES
K 39.10 K.upf
Os 190.23 Os.upf
Rh 102.91 Rh.upf
ATOMIC_POSITIONS crystal
K 0.000 0.000 0.000
Os 0.215 0.215 0.685
Os 0.785 0.785 0.315
Rh 0.500 0.500 0.500
CELL_PARAMETERS angstrom
5.685 -1.348 0.000
5.685 1.348 0.000
-1.745 0.000 4.634
```



2.
The following is a DFT calculation (PBE) of crystalline SmCd2Pt9 at its relaxed geometry. Values from VASP.

Energy of formation   -5.39 eV/f.u.
Electronic total energy   -5.53 eV per atom
Calculated density   16.1 g/cm³

```
&SYSTEM
  ibrav = 0, nat = 12, ntyp = 3
/
ATOMIC_SPECIES
Sm 150.36 Sm.upf
Cd 112.41 Cd.upf
Pt 195.08 Pt.upf
ATOMIC_POSITIONS crystal
Sm 0.000 0.000 0.000
Cd 0.145 0.145 0.145
Cd 0.855 0.855 0.855
Pt 0.081 0.587 0.587
Pt 0.334 0.334 0.334
Pt 0.413 0.413 0.919
Pt 0.413 0.919 0.413
Pt 0.500 0.500 0.500
Pt 0.587 0.081 0.587
Pt 0.587 0.587 0.081
Pt 0.666 0.666 0.666
Pt 0.919 0.413 0.413
CELL_PARAMETERS angstrom
2.695 1.556 8.744
-2.695 1.556 8.744
0.000 -3.112 8.744
```



3.
The following is a DFT calculation (PBE) of crystalline PaSF4 at its relaxed geometry. Values from VASP.

Electronic total energy   -6.38 eV per atom
Calculated density   5.4 g/cm³
E_form (uncorrected)   -2.86 eV per atom

```
&SYSTEM
  ibrav = 0, nat = 12, ntyp = 3
/
ATOMIC_SPECIES
Pa 231.04 Pa.upf
S 32.06 S.upf
F 19.00 F.upf
ATOMIC_POSITIONS crystal
Pa 0.250 0.000 0.165
Pa 0.750 0.000 0.835
S 0.250 0.000 0.516
S 0.750 0.000 0.484
F 0.000 0.000 0.000
F 0.082 0.500 0.250
F 0.250 0.500 0.972
F 0.418 0.500 0.250
F 0.500 0.000 0.000
F 0.582 0.500 0.750
F 0.750 0.500 0.028
F 0.918 0.500 0.750
CELL_PARAMETERS angstrom
7.628 0.000 0.000
0.000 3.608 0.000
0.000 0.000 7.601
```